Computed, not measured: an optimized crystal structure of Sc6ZnHg3 at the PBE level of DFT.

Computed properties:
For the density of states at the Fermi level, the calculation gives 0.940 states/eV per atom. Its formation energy is -0.318 eV per atom.

Geometry as CIF:
```
data_Sc6ZnHg3
_cell_length_a 8.578
_cell_length_b 4.929
_cell_length_c 10.776
_cell_angle_alpha 90.00
_cell_angle_beta 107.96
_cell_angle_gamma 90.00
_symmetry_space_group_name_H-M 'P 1 21/m 1'
_symmetry_Int_Tables_number 11
_symmetry_space_group_name_Hall '-P 2yb'
loop_
_atom_site_label
_atom_site_type_symbol
_atom_site_fract_x
_atom_site_fract_y
_atom_site_fract_z
Sc1 Sc 0.035 0.250 0.411
Sc2 Sc 0.165 0.750 0.175
Sc3 Sc 0.270 0.250 0.008
Sc4 Sc 0.349 0.750 0.819
Sc5 Sc 0.367 0.250 0.332
Sc6 Sc 0.397 0.250 0.624
Zn1 Zn 0.456 0.750 0.107
Hg1 Hg 0.023 0.750 0.877
Hg2 Hg 0.123 0.250 0.722
Hg3 Hg 0.281 0.750 0.473
```